This record from Alexandria describes Fe3CoCu2P6O24 after structural relaxation. The functional is PBE with a Hubbard U.

abc: 8.439 8.545 8.545
angles: 60.00 59.58 59.58
Sites, in units of the cell vectors:
1 Fe 0.070 0.643 0.643
2 Fe 0.426 0.858 0.858
3 Fe 0.924 0.359 0.359
4 Co 0.567 0.144 0.144
5 Cu 0.000 0.000 0.000
6 Cu 0.502 0.499 0.499
7 P 0.249 0.248 0.544
8 P 0.249 0.958 0.248
9 P 0.249 0.544 0.958
10 P 0.749 0.456 0.044
11 P 0.749 0.044 0.750
12 P 0.749 0.750 0.456
13 O 0.064 0.121 0.303
14 O 0.064 0.513 0.121
15 O 0.064 0.303 0.513
16 O 0.231 0.096 0.750
17 O 0.434 0.172 0.388
18 O 0.278 0.417 0.540
19 O 0.231 0.923 0.096
20 O 0.278 0.765 0.417
21 O 0.564 0.610 0.001
22 O 0.278 0.540 0.765
23 O 0.771 0.251 0.071
24 O 0.564 0.001 0.825
25 O 0.434 0.006 0.172
26 O 0.231 0.750 0.923
27 O 0.726 0.452 0.241
28 O 0.434 0.388 0.006
29 O 0.726 0.241 0.581
30 O 0.771 0.071 0.906
31 O 0.726 0.581 0.452
32 O 0.564 0.825 0.610
33 O 0.771 0.906 0.251
34 O 0.936 0.684 0.491
35 O 0.936 0.491 0.888
36 O 0.936 0.888 0.684

Values from the calculation:
The energy is -6.591 eV/atom.